# 1
# Ga2Ge4Pb3O14, PBEsol geometry, DFT SCAN
data_Ga2Ge4Pb3O14
_chemical_formula_sum 'Ga2 Ge4 Pb3 O14'
_cell_length_a 8.397
_cell_length_b 8.397
_cell_length_c 4.955
_cell_angle_alpha 90.00
_cell_angle_beta 90.00
_cell_angle_gamma 120.00
_space_group_name_H-M_alt 'P 1'
_space_group_IT_number 1
_space_group_name_Hall 'P 1'
loop_
_atom_site_label
_atom_site_type_symbol
_atom_site_fract_x
_atom_site_fract_y
_atom_site_fract_z
Ga1 Ga 0.333 0.667 0.007
Ga2 Ga 0.667 0.333 0.993
Ge1 Ge 0.000 0.000 0.500
Ge2 Ge 0.000 0.243 0.000
Ge3 Ge 0.243 0.000 0.000
Ge4 Ge 0.757 0.757 0.000
Pb1 Pb 0.000 0.571 0.500
Pb2 Pb 0.429 0.429 0.500
Pb3 Pb 0.571 0.000 0.500
O1 O 0.087 0.879 0.733
O2 O 0.121 0.208 0.733
O3 O 0.159 0.448 0.169
O4 O 0.208 0.121 0.267
O5 O 0.290 0.841 0.169
O6 O 0.333 0.667 0.648
O7 O 0.448 0.159 0.831
O8 O 0.552 0.710 0.169
O9 O 0.667 0.333 0.352
O10 O 0.710 0.552 0.831
O11 O 0.792 0.913 0.733
O12 O 0.841 0.290 0.831
O13 O 0.879 0.087 0.267
O14 O 0.913 0.792 0.267
# Total magnetization (μB per formula unit): 0.000
# Calculated density (kg/m3): 7001
# Symmetry: No. 150
# ΔE_f (raw) (eV per atom): -1.71
# Volume (Å³/cell): 302.6

# 2
# Rb2Ga2Ge3O10, PBEsol geometry, DFT SCAN
data_Rb2Ga2Ge3O10
_chemical_formula_sum 'Rb4 Ga4 Ge6 O20'
_cell_length_a 9.587
_cell_length_b 9.587
_cell_length_c 12.810
_cell_angle_alpha 130.97
_cell_angle_beta 130.97
_cell_angle_gamma 40.76
_space_group_name_H-M_alt 'P 1'
_space_group_IT_number 1
_space_group_name_Hall 'P 1'
loop_
_atom_site_label
_atom_site_type_symbol
_atom_site_fract_x
_atom_site_fract_y
_atom_site_fract_z
Rb1 Rb 0.001 0.499 0.880
Rb2 Rb 0.134 0.134 0.376
Rb3 Rb 0.501 0.999 0.120
Rb4 Rb 0.866 0.866 0.624
Ga1 Ga 0.127 0.608 0.306
Ga2 Ga 0.392 0.873 0.694
Ga3 Ga 0.430 0.416 0.799
Ga4 Ga 0.584 0.570 0.201
Ge1 Ge 0.127 0.873 0.000
Ge2 Ge 0.436 0.433 0.568
Ge3 Ge 0.567 0.564 0.432
Ge4 Ge 0.622 0.122 0.952
Ge5 Ge 0.878 0.378 0.048
Ge6 Ge 0.880 0.120 0.500
O1 O 0.017 0.483 0.108
O2 O 0.046 0.079 0.962
O3 O 0.129 0.106 0.617
O4 O 0.163 0.641 0.840
O5 O 0.279 0.684 0.333
O6 O 0.316 0.721 0.667
O7 O 0.327 0.378 0.380
O8 O 0.359 0.837 0.160
O9 O 0.374 0.342 0.607
O10 O 0.488 0.384 0.077
O11 O 0.517 0.983 0.892
O12 O 0.577 0.144 0.806
O13 O 0.616 0.512 0.923
O14 O 0.622 0.673 0.620
O15 O 0.658 0.626 0.393
O16 O 0.735 0.264 0.382
O17 O 0.736 0.265 0.618
O18 O 0.856 0.423 0.194
O19 O 0.894 0.871 0.383
O20 O 0.921 0.954 0.038
# Total magnetization (μB per formula unit): 0.159
# Calculated density (kg/m3): 4160
# Symmetry: No. 5
# ΔE_f (raw) (eV per atom): -1.98
# Volume (Å³/cell): 549.4

# 3
# SrGa2Ge2O8, PBEsol geometry, DFT SCAN
data_SrGa2Ge2O8
_chemical_formula_sum 'Sr4 Ga8 Ge8 O32'
_cell_length_a 8.571
_cell_length_b 9.685
_cell_length_c 9.219
_cell_angle_alpha 90.00
_cell_angle_beta 90.57
_cell_angle_gamma 90.00
_space_group_name_H-M_alt 'P 1'
_space_group_IT_number 1
_space_group_name_Hall 'P 1'
loop_
_atom_site_label
_atom_site_type_symbol
_atom_site_fract_x
_atom_site_fract_y
_atom_site_fract_z
Sr1 Sr 0.249 0.087 0.115
Sr2 Sr 0.249 0.413 0.615
Sr3 Sr 0.751 0.587 0.385
Sr4 Sr 0.751 0.913 0.885
Ga1 Ga 0.068 0.693 0.054
Ga2 Ga 0.068 0.807 0.554
Ga3 Ga 0.434 0.076 0.734
Ga4 Ga 0.434 0.424 0.234
Ga5 Ga 0.566 0.576 0.766
Ga6 Ga 0.566 0.924 0.266
Ga7 Ga 0.932 0.193 0.446
Ga8 Ga 0.932 0.307 0.946
Ge1 Ge 0.062 0.080 0.743
Ge2 Ge 0.062 0.420 0.243
Ge3 Ge 0.440 0.699 0.058
Ge4 Ge 0.440 0.801 0.558
Ge5 Ge 0.560 0.199 0.442
Ge6 Ge 0.560 0.301 0.942
Ge7 Ge 0.938 0.580 0.757
Ge8 Ge 0.938 0.920 0.257
O1 O 0.019 0.080 0.307
O2 O 0.019 0.420 0.807
O3 O 0.067 0.626 0.617
O4 O 0.067 0.874 0.117
O5 O 0.072 0.198 0.600
O6 O 0.072 0.302 0.100
O7 O 0.246 0.075 0.831
O8 O 0.246 0.425 0.331
O9 O 0.260 0.631 0.004
O10 O 0.260 0.869 0.504
O11 O 0.425 0.200 0.585
O12 O 0.425 0.300 0.085
O13 O 0.430 0.629 0.618
O14 O 0.430 0.871 0.118
O15 O 0.478 0.092 0.305
O16 O 0.478 0.408 0.805
O17 O 0.522 0.592 0.195
O18 O 0.522 0.908 0.695
O19 O 0.570 0.129 0.882
O20 O 0.570 0.371 0.382
O21 O 0.575 0.700 0.915
O22 O 0.575 0.800 0.415
O23 O 0.740 0.131 0.496
O24 O 0.740 0.369 0.996
O25 O 0.754 0.575 0.669
O26 O 0.754 0.925 0.169
O27 O 0.928 0.698 0.900
O28 O 0.928 0.802 0.400
O29 O 0.933 0.126 0.883
O30 O 0.933 0.374 0.383
O31 O 0.981 0.580 0.193
O32 O 0.981 0.920 0.693
# Total magnetization (μB per formula unit): 0.000
# Calculated density (kg/m3): 4343
# Symmetry: No. 14
# ΔE_f (raw) (eV per atom): -2.19
# Volume (Å³/cell): 765.2

# 4
# Zr2GaGeO, PBEsol geometry, DFT SCAN
data_Zr2GaGeO
_chemical_formula_sum 'Zr2 Ga1 Ge1 O1'
_cell_length_a 4.321
_cell_length_b 4.321
_cell_length_c 4.504
_cell_angle_alpha 90.00
_cell_angle_beta 90.00
_cell_angle_gamma 90.00
_space_group_name_H-M_alt 'P 1'
_space_group_IT_number 1
_space_group_name_Hall 'P 1'
loop_
_atom_site_label
_atom_site_type_symbol
_atom_site_fract_x
_atom_site_fract_y
_atom_site_fract_z
Zr1 Zr 0.000 0.500 0.000
Zr2 Zr 0.500 0.000 0.000
Ga1 Ga 0.000 0.000 0.500
Ge1 Ge 0.500 0.500 0.500
O1 O 0.500 0.500 0.000
# Total magnetization (μB per formula unit): 0.000
# Calculated density (kg/m3): 6730
# Symmetry: No. 123
# ΔE_f (raw) (eV per atom): -0.91
# Volume (Å³/cell): 84.1